Record 1
TlAsIr2 after structural relaxation, computed with PBE.

a = 6.1236 Å, b = 6.1236 Å, c = 10.3136 Å
α = 90.00°, β = 90.00°, γ = 90.00°
Space group I-42d (No. 122)
One atom of each set of equivalent atoms:
Tl1 0.0000 0.0000 0.0000 [4 per cell]
As1 0.0000 0.0000 0.5000 [4 per cell]
Ir1 0.1999 0.2500 0.6250 [8 per cell]

final energy = -89.9 eV per cell
volume = 386.74 Å³/cell
E above lowest polymorph = 322 meV/atom
energy of formation = 2.26 eV per formula unit

Record 2
RbV3Ga after structural relaxation, computed with PBE.

a = 5.0747 Å, b = 5.0747 Å, c = 5.0747 Å
α = 90.00°, β = 90.00°, γ = 90.00°
Space group Pm-3m (No. 221)
One atom of each set of equivalent atoms:
Rb1 0.0000 0.0000 0.0000 [1 per cell]
V1 0.0000 0.5000 0.5000 [3 per cell]
Ga1 0.5000 0.5000 0.5000 [1 per cell]

final energy = -24.9 eV per cell
volume = 130.68 Å³/cell
E above lowest polymorph = 0 meV/atom
energy of formation = 6.45 eV per formula unit

Record 3
PmEr4Co4 after structural relaxation, computed with PBE.

a = 8.4344 Å, b = 8.4344 Å, c = 5.5028 Å
α = 90.00°, β = 90.00°, γ = 90.00°
Space group P4_2/n (No. 86, origin choice 2)
One atom of each set of equivalent atoms:
Pm1 0.2500 0.2500 0.2500 [2 per cell]
Er1 0.0663 0.6713 0.1342 [8 per cell]
Co1 0.0174 0.6098 0.6197 [8 per cell]

final energy = -104.0 eV per cell
volume = 391.46 Å³/cell
energy of formation = -0.58 eV per formula unit

Record 4
Cr2Si2Pt after structural relaxation, computed with PBE.

a = 6.1877 Å, b = 6.1877 Å, c = 3.5595 Å
α = 90.00°, β = 90.00°, γ = 90.00°
Space group P4/mbm (No. 127)
One atom of each set of equivalent atoms:
Cr1 0.1636 0.3364 0.0000 [4 per cell]
Si1 0.1336 0.6336 0.5000 [4 per cell]
Pt1 0.0000 0.0000 0.5000 [2 per cell]

final energy = -74.9 eV per cell
volume = 136.28 Å³/cell

Record 5
Ce2DyTm3As6 after structural relaxation, computed with PBE.

a = 17.9492 Å, b = 4.1285 Å, c = 8.2423 Å
α = 90.00°, β = 103.13°, γ = 90.00°
Space group C2/m (No. 12)
One atom of each set of equivalent atoms:
Ce1 0.1657 0.0000 0.3316 [4 per cell]
Dy1 0.0000 0.5000 0.0000 [2 per cell]
Tm1 0.0000 0.5000 0.5000 [2 per cell]
Tm2 0.1664 0.0000 0.8343 [4 per cell]
As1 0.0018 0.0000 0.7485 [4 per cell]
As2 0.1650 0.5000 0.5879 [4 per cell]
As3 0.1673 0.5000 0.0783 [4 per cell]

final energy = -151.1 eV per cell
volume = 594.82 Å³/cell
energy of formation = -17.78 eV per formula unit

Record 6
TeOF3 after structural relaxation, computed with PBE.

a = 4.0053 Å, b = 4.0053 Å, c = 4.0053 Å
α = 90.00°, β = 90.00°, γ = 90.00°
Space group Pm-3m (No. 221)
One atom of each set of equivalent atoms:
Te1 0.0000 0.0000 0.0000 [1 per cell]
O1 0.5000 0.5000 0.5000 [1 per cell]
F1 0.0000 0.5000 0.5000 [3 per cell]

final energy = -12.7 eV per cell
volume = 64.25 Å³/cell
E above lowest polymorph = 961 meV/atom

Record 7
Rb2Pt3O8 after structural relaxation, computed with PBE.

a = 13.4741 Å, b = 6.3455 Å, c = 5.3939 Å
α = 90.00°, β = 108.13°, γ = 90.00°
Space group C2/m (No. 12)
One atom of each set of equivalent atoms:
Rb1 0.2269 0.0000 0.1760 [4 per cell]
Pt1 0.0000 0.2448 0.5000 [4 per cell]
Pt2 0.0000 0.5000 0.0000 [2 per cell]
O1 0.0790 0.5000 0.3970 [4 per cell]
O2 0.0807 0.2791 0.8789 [8 per cell]
O3 0.0845 0.0000 0.4495 [4 per cell]

final energy = -139.7 eV per cell
volume = 438.28 Å³/cell

Record 8
LiGaSn after structural relaxation, computed with PBE.

a = 5.0335 Å, b = 5.2207 Å, c = 5.7469 Å
α = 78.89°, β = 64.87°, γ = 63.00°
Space group P1 (No. 1)
One atom of each set of equivalent atoms:
Li1 0.0000 0.0000 0.0000 [1 per cell]
Li2 0.2355 0.5147 0.5141 [1 per cell]
Ga1 0.6670 0.6681 0.0015 [1 per cell]
Ga2 0.9047 0.1837 0.5131 [1 per cell]
Sn1 0.3268 0.3338 0.0122 [1 per cell]
Sn2 0.5762 0.8470 0.5019 [1 per cell]

final energy = -19.0 eV per cell
volume = 121.82 Å³/cell
energy of formation = -0.55 eV per formula unit

Record 9
ScNi4Ge2 after structural relaxation, computed with PBE.

a = 16.2728 Å, b = 3.9173 Å, c = 5.9586 Å
α = 90.00°, β = 90.00°, γ = 90.00°
Space group Pnma (No. 62)
One atom of each set of equivalent atoms:
Sc1 0.1385 0.2500 0.0151 [4 per cell]
Ni1 0.0311 0.7500 0.8438 [4 per cell]
Ni2 0.0800 0.2500 0.5126 [4 per cell]
Ni3 0.1786 0.7500 0.7266 [4 per cell]
Ni4 0.1845 0.7500 0.3225 [4 per cell]
Ge1 0.0419 0.7500 0.2638 [4 per cell]
Ge2 0.2258 0.2500 0.5217 [4 per cell]

final energy = -167.1 eV per cell
volume = 379.84 Å³/cell
E above lowest polymorph = 60 meV/atom
energy of formation = -3.09 eV per formula unit

Record 10
Pr3ScHg2 after structural relaxation, computed with PBE.

a = 6.9222 Å, b = 15.4842 Å, c = 6.7844 Å
α = 90.00°, β = 90.00°, γ = 90.00°
Space group Ibam (No. 72)
One atom of each set of equivalent atoms:
Pr1 0.0000 0.0000 0.2500 [4 per cell]
Pr2 0.2390 0.3179 0.0000 [8 per cell]
Sc1 0.0000 0.5000 0.2500 [4 per cell]
Hg1 0.2258 0.3776 0.5000 [8 per cell]

final energy = -91.7 eV per cell
volume = 727.18 Å³/cell
E above lowest polymorph = 11 meV/atom
energy of formation = -1.66 eV per formula unit

Record 11
SrCu2SiPd after structural relaxation, computed with PBE.

a = 4.5566 Å, b = 4.5566 Å, c = 4.7912 Å
α = 90.00°, β = 90.00°, γ = 90.00°
Space group P4/mmm (No. 123)
One atom of each set of equivalent atoms:
Sr1 0.0000 0.0000 0.0000 [1 per cell]
Cu1 0.0000 0.5000 0.5000 [2 per cell]
Si1 0.5000 0.5000 0.5000 [1 per cell]
Pd1 0.5000 0.5000 0.0000 [1 per cell]

final energy = -21.8 eV per cell
volume = 99.48 Å³/cell
E above lowest polymorph = 92 meV/atom

Record 12
MnIrC2 after structural relaxation, computed with PBE.

a = 5.2158 Å, b = 5.2158 Å, c = 5.2158 Å
α = 90.00°, β = 90.00°, γ = 90.00°
Space group Fm-3m (No. 225)
One atom of each set of equivalent atoms:
Mn1 0.0000 0.0000 0.0000 [4 per cell]
Ir1 0.0000 0.0000 0.5000 [4 per cell]
C1 0.2500 0.2500 0.2500 [8 per cell]

final energy = -127.1 eV per cell
volume = 141.89 Å³/cell
E above lowest polymorph = 659 meV/atom
energy of formation = 4.72 eV per formula unit

Record 13
Dy3Si3Pd2 after structural relaxation, computed with PBE.

a = 4.2591 Å, b = 10.4485 Å, c = 14.1277 Å
α = 90.00°, β = 90.00°, γ = 90.00°
Space group Cmcm (No. 63)
One atom of each set of equivalent atoms:
Dy1 0.0000 0.0864 0.1111 [8 per cell]
Dy2 0.0000 0.3640 0.2500 [4 per cell]
Si1 0.0000 0.3404 0.7500 [4 per cell]
Si2 0.0000 0.3949 0.0392 [8 per cell]
Pd1 0.0000 0.2058 0.5943 [8 per cell]

final energy = -192.4 eV per cell
volume = 628.70 Å³/cell
E above lowest polymorph = 0 meV/atom

Record 14
Tm4CuPt7 after structural relaxation, computed with PBE.

a = 10.9252 Å, b = 5.0465 Å, c = 10.1281 Å
α = 90.00°, β = 120.08°, γ = 90.00°
Space group C2/m (No. 12)
One atom of each set of equivalent atoms:
Tm1 0.0924 0.0000 0.2842 [4 per cell]
Tm2 0.2319 0.5000 0.1493 [4 per cell]
Cu1 0.0000 0.5000 0.5000 [2 per cell]
Pt1 0.0000 0.0000 0.5000 [2 per cell]
Pt2 0.0808 0.5000 0.7963 [4 per cell]
Pt3 0.1329 0.0000 0.0287 [4 per cell]
Pt4 0.2065 0.5000 0.4053 [4 per cell]

final energy = -149.3 eV per cell
volume = 483.18 Å³/cell
energy of formation = -10.39 eV per formula unit

Record 15
Sm5Bi4P after structural relaxation, computed with PBE.

a = 9.9824 Å, b = 9.9824 Å, c = 6.3431 Å
α = 90.00°, β = 90.00°, γ = 90.00°
Space group I4/m (No. 87)
One atom of each set of equivalent atoms:
Sm1 0.0000 0.0000 0.0000 [2 per cell]
Sm2 0.0967 0.2790 0.5000 [8 per cell]
Bi1 0.0927 0.3038 0.0000 [8 per cell]
P1 0.0000 0.0000 0.5000 [2 per cell]

final energy = -109.3 eV per cell
volume = 632.07 Å³/cell
E above lowest polymorph = 0 meV/atom
energy of formation = -10.10 eV per formula unit

Record 16
CsK2SrTl after structural relaxation, computed with PBE.

a = 7.1440 Å, b = 7.1440 Å, c = 6.5215 Å
α = 90.00°, β = 90.00°, γ = 90.00°
Space group P4/mmm (No. 123)
One atom of each set of equivalent atoms:
Cs1 0.0000 0.0000 0.0000 [1 per cell]
K1 0.0000 0.5000 0.5000 [2 per cell]
Sr1 0.5000 0.5000 0.0000 [1 per cell]
Tl1 0.5000 0.5000 0.5000 [1 per cell]

final energy = -7.0 eV per cell
volume = 332.83 Å³/cell
energy of formation = 0.06 eV per formula unit

Record 17
SmEr2PuP4 after structural relaxation, computed with PBE.

a = 6.9273 Å, b = 4.0167 Å, c = 6.9402 Å
α = 90.00°, β = 109.52°, γ = 90.00°
Space group P2/m (No. 10)
One atom of each set of equivalent atoms:
Sm1 0.0000 0.0000 0.0000 [1 per cell]
Er1 0.5000 0.0000 0.5000 [1 per cell]
Er2 0.5000 0.5000 0.0000 [1 per cell]
Pu1 0.0000 0.5000 0.5000 [1 per cell]
P1 0.2514 0.0000 0.7455 [2 per cell]
P2 0.2551 0.5000 0.2566 [2 per cell]

final energy = -61.6 eV per cell
volume = 182.02 Å³/cell
energy of formation = -11.78 eV per formula unit

Record 18
Pm3Er4Th after structural relaxation, computed with PBE.

a = 11.5058 Å, b = 7.2233 Å, c = 6.2618 Å
α = 90.00°, β = 90.00°, γ = 90.00°
Space group Pmn2_1 (No. 31)
One atom of each set of equivalent atoms:
Pm1 0.0000 0.1229 0.0000 [2 per cell]
Pm2 0.2488 0.1238 0.3313 [4 per cell]
Er1 0.0000 0.3779 0.5027 [2 per cell]
Er2 0.0000 0.6268 0.0042 [2 per cell]
Er3 0.2483 0.6241 0.3414 [4 per cell]
Th1 0.0000 0.8730 0.5052 [2 per cell]

final energy = -79.2 eV per cell
volume = 520.42 Å³/cell
E above lowest polymorph = 19 meV/atom
energy of formation = 0.34 eV per formula unit

Record 19
Y2Tl3GeSe6 after structural relaxation, computed with PBE.

a = 19.3904 Å, b = 4.1310 Å, c = 8.9854 Å
α = 90.00°, β = 109.05°, γ = 90.00°
Space group C2/m (No. 12)
One atom of each set of equivalent atoms:
Y1 0.1650 0.0000 0.3340 [4 per cell]
Tl1 0.0000 0.5000 0.5000 [2 per cell]
Tl2 0.1684 0.0000 0.8413 [4 per cell]
Ge1 0.0000 0.5000 0.0000 [2 per cell]
Se1 0.0072 0.0000 0.2192 [4 per cell]
Se2 0.1524 0.5000 0.1059 [4 per cell]
Se3 0.1769 0.5000 0.5639 [4 per cell]

final energy = -114.9 eV per cell
volume = 680.34 Å³/cell

Record 20
KLiInSe2 after structural relaxation, computed with PBE.

a = 6.7397 Å, b = 14.6580 Å, c = 6.0805 Å
α = 90.00°, β = 90.00°, γ = 90.00°
Space group Cmme (No. 67)
One atom of each set of equivalent atoms:
K1 0.0000 0.2500 0.2480 [4 per cell]
Li1 0.0000 0.0000 0.5000 [4 per cell]
In1 0.2500 0.0000 0.0000 [4 per cell]
Se1 0.0000 0.1247 0.7613 [8 per cell]

final energy = -65.7 eV per cell
volume = 600.70 Å³/cell